# WBr2F2

Crystalline WBr2F2 at its relaxed geometry (GGA+U, the Alexandria database).

Properties
* electronic total energy: -3.711 eV/atom
* density of states at the Fermi level: 3.5 states/eV/cell
* ρ: 4960 kg/m3
* excess energy over the best structure of this formula in the dataset: 0.121 eV/atom

Cell lengths 6.468, 6.468, 6.109 Å; angles 90.00, 90.00, 90.00 degrees
Sites, in units of the cell vectors:
W 0.000 0.000 0.000
W 0.500 0.500 0.500
Br 0.000 0.500 0.250
Br 0.000 0.500 0.750
Br 0.500 0.000 0.250
Br 0.500 0.000 0.750
F 0.000 0.000 0.304
F 0.000 0.000 0.696
F 0.500 0.500 0.196
F 0.500 0.500 0.804